# 1
## Mn3W4 (GGA-PBEsol)

Data for an optimized crystal structure of Mn3W4.

```
Mn3W4
1.0
4.725 0.000 0.000
-2.363 4.092 0.000
0.000 0.000 4.873
Mn W
3 4
Direct
0.000 0.500 0.000
0.500 0.000 0.000
0.500 0.500 0.000
0.000 0.000 0.250
0.000 0.000 0.750
0.333 0.667 0.500
0.667 0.333 0.500
```

- VASP energy: -12.042 eV per atom
- Space-group type: P6/mmm, No. 191
- Calculated formation energy: 31.6 meV per atom

=====

# 2
## Mg2CrP (GGA-PBEsol)

Data for an optimized crystal structure of Mg2CrP.

```
Mg2CrP
1.0
-1.939 1.939 4.179
1.939 -1.939 4.179
1.939 1.939 -4.179
Mg Cr P
2 1 1
Direct
0.000 0.000 0.000
0.750 0.250 0.500
0.250 0.750 0.500
0.500 0.500 0.000
```

- VASP energy: -4.743 eV per atom
- Space-group type: I-4m2, No. 119
- Calculated formation energy: 123.5 meV per atom

=====

# 3
## LaReBr (GGA-PBEsol)

Data for an optimized crystal structure of LaReBr.

```
LaReBr
1.0
0.000 3.357 3.357
3.357 0.000 3.357
3.357 3.357 0.000
La Re Br
1 1 1
Direct
0.000 0.000 0.000
0.500 0.500 0.500
0.750 0.750 0.750
```

- Uncorrected formation energy: 0.873 eV per atom
- VASP energy: -5.977 eV per atom
- Space-group type: F-43m, No. 216

=====

# 4
## ReRh2W (GGA-PBEsol)

Data for an optimized crystal structure of ReRh2W.

```
ReRh2W
1.0
2.710 0.000 0.000
0.000 4.371 0.000
0.000 0.000 4.772
Re Rh W
1 2 1
Direct
0.000 0.000 0.000
0.500 0.000 0.504
0.500 0.500 0.841
0.000 0.500 0.336
```

- Offset from the most stable computed form: 0.0 kJ/mol of atoms
- VASP energy: -11.074 eV per atom
- Space-group type: Pmm2, No. 25
- Calculated formation energy: -219.4 meV per atom

=====

# 5
## MgCo2Ni (GGA-PBEsol)

Data for an optimized crystal structure of MgCo2Ni.

```
MgCo2Ni
1.0
2.430 -4.110 0.000
2.430 4.110 0.000
-0.842 0.000 2.335
Mg Co Ni
1 2 1
Direct
0.000 0.000 0.000
0.000 0.500 0.500
0.500 0.000 0.500
0.500 0.500 0.000
```

- VASP energy: -5.644 eV per atom
- Space-group type: C2/m, No. 12
- Calculated formation energy: 193.3 meV per atom

=====

# 6
## KLi3Pd (GGA-PBEsol)

Data for an optimized crystal structure of KLi3Pd.

```
KLi3Pd
1.0
4.585 0.000 0.000
0.000 4.585 0.000
0.000 0.000 4.585
K Li Pd
1 3 1
Direct
0.000 0.000 0.000
0.000 0.000 0.500
0.000 0.500 0.000
0.500 0.000 0.000
0.500 0.500 0.500
```

- Offset from the most stable computed form: 83.3 kJ/mol of atoms
- VASP energy: -1.760 eV per atom
- Space-group type: Pm-3m, No. 221
- Calculated formation energy: 838.6 meV per atom